[1]
CrSnPd2N (GGA-PBEsol, optimized geometry); electronic total energy = -7.0837 eV/atom; D(E_F) = 0.738 states/eV/atom; magnetic moment = 1.8 μB/f.u.; symmetry = No. 123; crystal system = tetragonal; formation energy without anion corrections = -95 meV per atom
1.0
-0.9589 3.5882 0.0636
-3.4730 -0.9711 2.4256
2.3596 0.5667 3.6054
Cr Sn Pd N
1 1 2 1
direct
0.5000 0.0000 0.0000
0.5000 0.5000 0.5000
0.0000 0.0000 0.5000
0.0000 0.5000 0.0000
0.0000 0.0000 0.0000

---

[2]
CrTePdN2 (GGA-PBEsol, optimized geometry); electronic total energy = -5.9333 eV/atom; D(E_F) = 0.941 states/eV/atom; magnetic moment = 7.2 μB/f.u.; symmetry = No. 123; crystal system = tetragonal; formation energy without anion corrections = 1423 meV per atom
1.0
3.9012 0.0000 0.0000
0.0000 3.9012 0.0000
0.0000 0.0000 5.7002
Cr Te Pd N
1 1 1 2
direct
0.5000 0.5000 0.5000
0.0000 0.0000 0.5000
0.0000 0.0000 0.0000
0.0000 0.5000 0.0000
0.5000 0.0000 0.0000

---

[3]
CrPtSe2N (GGA-PBEsol, optimized geometry); electronic total energy = -6.0600 eV/atom; D(E_F) = 0.578 states/eV/atom; magnetic moment = 3.7 μB/f.u.; symmetry = No. 123; crystal system = tetragonal; formation energy without anion corrections = 626 meV per atom
1.0
3.6063 0.0000 0.0000
0.0000 5.1298 0.0000
0.0000 0.0000 5.1298
Cr Se Pt N
1 2 1 1
direct
0.5000 0.5000 0.5000
0.0000 0.0000 0.5000
0.0000 0.5000 0.0000
0.0000 0.0000 0.0000
0.5000 0.0000 0.0000

---

[4]
CrReN2 (GGA-PBEsol, optimized geometry); electronic total energy = -10.2166 eV/atom; D(E_F) = 0.824 states/eV/atom; magnetic moment = 0.0 μB/f.u.; symmetry = No. 166; crystal system = trigonal; formation energy without anion corrections = -60 meV per atom
1.0
2.6745 0.0000 0.0000
1.3372 2.3162 0.0000
1.3372 0.7721 6.3871
Re N Cr
1 2 1
direct
0.0000 0.0000 0.0000
0.8954 0.8954 0.3137
0.1046 0.1046 0.6863
0.5000 0.5000 0.5000

---

[5]
Cr3ReN (GGA-PBEsol, optimized geometry); electronic total energy = -10.7726 eV/atom; D(E_F) = 0.913 states/eV/atom; magnetic moment = 0.0 μB/f.u.; symmetry = No. 221; crystal system = cubic; formation energy without anion corrections = -256 meV per atom
1.0
3.7759 0.0000 0.0000
0.0000 3.7759 0.0000
0.0000 0.0000 3.7759
Re N Cr
1 1 3
direct
0.5000 0.5000 0.5000
0.0000 0.0000 0.0000
0.0000 0.5000 0.0000
0.0000 0.0000 0.5000
0.5000 0.0000 0.0000

---

[6]
CrReS2N (GGA-PBEsol, optimized geometry); electronic total energy = -7.7868 eV/atom; D(E_F) = 0.574 states/eV/atom; magnetic moment = 4.5 μB/f.u.; symmetry = No. 123; crystal system = tetragonal; formation energy without anion corrections = 387 meV per atom
1.0
3.7052 0.0000 0.0000
0.0000 4.7211 0.0000
0.0000 0.0000 4.7211
Re S N Cr
1 2 1 1
direct
0.0000 0.0000 0.0000
0.0000 0.0000 0.5000
0.0000 0.5000 0.0000
0.5000 0.0000 0.0000
0.5000 0.5000 0.5000

---

[7]
CrReSeN2 (GGA-PBEsol, optimized geometry); electronic total energy = -7.7798 eV/atom; D(E_F) = 0.693 states/eV/atom; magnetic moment = 3.2 μB/f.u.; symmetry = No. 123; crystal system = tetragonal; formation energy without anion corrections = 1116 meV per atom
1.0
-3.5353 0.2102 -0.8758
0.2078 -3.2615 -1.6215
-1.1976 -2.2156 4.3028
Re N Se Cr
1 2 1 1
direct
0.5000 0.5000 0.5000
0.0000 0.5000 0.0000
0.5000 0.0000 0.0000
0.0000 0.0000 0.5000
0.0000 0.0000 0.0000

---

[8]
Cr3RhN (GGA-PBEsol, optimized geometry); electronic total energy = -9.8116 eV/atom; D(E_F) = 1.303 states/eV/atom; magnetic moment = 0.0 μB/f.u.; symmetry = No. 221; crystal system = cubic; formation energy without anion corrections = -333 meV per atom
1.0
3.7659 0.0000 0.0000
0.0000 3.7659 0.0000
0.0000 0.0000 3.7659
Cr Rh N
3 1 1
direct
0.0000 0.5000 0.0000
0.0000 0.0000 0.5000
0.5000 0.0000 0.0000
0.5000 0.5000 0.5000
0.0000 0.0000 0.0000

---

[9]
CrRhSe2N (GGA-PBEsol, optimized geometry); electronic total energy = -6.5705 eV/atom; D(E_F) = 0.816 states/eV/atom; magnetic moment = 0.7 μB/f.u.; symmetry = No. 123; crystal system = tetragonal; formation energy without anion corrections = 351 meV per atom
1.0
-0.5046 -3.3737 -0.0028
0.4330 -0.0687 4.7329
-4.6809 0.6998 0.4384
Cr Rh Se N
1 1 2 1
direct
0.0000 0.0000 0.0000
0.5000 0.5000 0.5000
0.0000 0.0000 0.5000
0.0000 0.5000 0.0000
0.5000 0.0000 0.0000

---

[10]
CrRu3N (GGA-PBEsol, optimized geometry); electronic total energy = -7.2931 eV/atom; D(E_F) = 1.759 states/eV/atom; magnetic moment = 1.3 μB/f.u.; symmetry = No. 221; crystal system = cubic; formation energy without anion corrections = 2564 meV per atom
1.0
-1.4262 0.5643 -4.0158
-1.1509 -4.1382 -0.1727
-3.8885 1.0178 1.5240
Ru N Cr
3 1 1
direct
0.0000 0.5000 0.0000
0.0000 0.0000 0.5000
0.5000 0.0000 0.0000
0.5000 0.5000 0.5000
0.0000 0.0000 0.0000

---

[11]
CrS3N (GGA-PBEsol, optimized geometry); electronic total energy = -5.2397 eV/atom; D(E_F) = 0.765 states/eV/atom; magnetic moment = 2.5 μB/f.u.; symmetry = No. 221; crystal system = cubic; formation energy without anion corrections = 1145 meV per atom
1.0
4.3969 0.0000 0.0000
0.0000 4.3969 0.0000
0.0000 0.0000 4.3969
Cr S N
1 3 1
direct
0.0000 0.0000 0.0000
0.0000 0.5000 0.0000
0.0000 0.0000 0.5000
0.5000 0.0000 0.0000
0.5000 0.5000 0.5000

---

[12]
ScCrS2N (GGA-PBEsol, optimized geometry); electronic total energy = -7.5041 eV/atom; D(E_F) = 0.472 states/eV/atom; magnetic moment = 1.3 μB/f.u.; symmetry = No. 123; crystal system = tetragonal; formation energy without anion corrections = -676 meV per atom
1.0
-2.0566 1.8913 -2.1338
-3.7195 -1.4762 2.2764
0.3286 3.5892 2.8645
Sc Cr S N
1 1 2 1
direct
0.5000 0.5000 0.5000
0.0000 0.0000 0.0000
0.0000 0.0000 0.5000
0.0000 0.5000 0.0000
0.5000 0.0000 0.0000

---

[13]
CrSiS2N (GGA-PBEsol, optimized geometry); electronic total energy = -6.4798 eV/atom; D(E_F) = 0.379 states/eV/atom; magnetic moment = 0.8 μB/f.u.; symmetry = No. 123; crystal system = tetragonal; formation energy without anion corrections = 177 meV per atom
1.0
-2.2355 -0.3865 -2.6305
2.9349 -2.8878 -2.0699
-1.9565 -3.5546 2.1850
Cr S Si N
1 2 1 1
direct
0.0000 0.0000 0.0000
0.0000 0.0000 0.5000
0.0000 0.5000 0.0000
0.5000 0.5000 0.5000
0.5000 0.0000 0.0000

---

[14]
CrSiSN2 (GGA-PBEsol, optimized geometry); electronic total energy = -7.1856 eV/atom; D(E_F) = 0.600 states/eV/atom; magnetic moment = 3.7 μB/f.u.; symmetry = No. 123; crystal system = tetragonal; formation energy without anion corrections = 300 meV per atom
1.0
3.4079 0.0000 0.0000
0.0000 3.4079 0.0000
0.0000 0.0000 5.6136
Cr S Si N
1 1 1 2
direct
0.5000 0.5000 0.5000
0.0000 0.0000 0.5000
0.0000 0.0000 0.0000
0.0000 0.5000 0.0000
0.5000 0.0000 0.0000

---

[15]
CrSnS2N (GGA-PBEsol, optimized geometry); electronic total energy = -5.4433 eV/atom; D(E_F) = 0.811 states/eV/atom; magnetic moment = 5.2 μB/f.u.; symmetry = No. 123; crystal system = tetragonal; formation energy without anion corrections = 916 meV per atom
1.0
3.9217 0.0000 0.0000
0.0000 5.0143 0.0000
0.0000 0.0000 5.0143
Cr S Sn N
1 2 1 1
direct
0.5000 0.5000 0.5000
0.0000 0.0000 0.5000
0.0000 0.5000 0.0000
0.0000 0.0000 0.0000
0.5000 0.0000 0.0000

---

[16]
CrTcSN2 (GGA-PBEsol, optimized geometry); electronic total energy = -7.9649 eV/atom; D(E_F) = 0.661 states/eV/atom; magnetic moment = 2.9 μB/f.u.; symmetry = No. 123; crystal system = tetragonal; formation energy without anion corrections = 624 meV per atom
1.0
-2.8813 0.3032 -2.2562
2.0697 -1.1668 -2.7999
-1.4401 -5.2689 1.1311
Cr S Tc N
1 1 1 2
direct
0.0000 0.0000 0.5000
0.5000 0.5000 0.5000
0.0000 0.0000 0.0000
0.0000 0.5000 0.0000
0.5000 0.0000 0.0000

---

[17]
TiCrSN2 (GGA-PBEsol, optimized geometry); electronic total energy = -8.0500 eV/atom; D(E_F) = 0.715 states/eV/atom; magnetic moment = 0.0 μB/f.u.; symmetry = No. 123; crystal system = tetragonal; formation energy without anion corrections = -50 meV per atom
1.0
-0.6601 2.5748 -2.4305
-3.1154 -1.5973 -0.8460
-2.1505 2.4885 3.2203
Cr S N Ti
1 1 2 1
direct
0.0000 0.0000 0.0000
0.0000 0.0000 0.5000
0.0000 0.5000 0.0000
0.5000 0.0000 0.0000
0.5000 0.5000 0.5000

---

[18]
TiCrS2N (GGA-PBEsol, optimized geometry); electronic total energy = -7.3671 eV/atom; D(E_F) = 1.254 states/eV/atom; magnetic moment = 2.5 μB/f.u.; symmetry = No. 123; crystal system = tetragonal; formation energy without anion corrections = -195 meV per atom
1.0
3.4794 0.0000 0.0000
0.0000 4.5767 0.0000
0.0000 0.0000 4.5767
Cr S N Ti
1 2 1 1
direct
0.0000 0.0000 0.0000
0.0000 0.0000 0.5000
0.0000 0.5000 0.0000
0.5000 0.0000 0.0000
0.5000 0.5000 0.5000

---

[19]
TlCrS2N (GGA-PBEsol, optimized geometry); electronic total energy = -6.0664 eV/atom; D(E_F) = 0.464 states/eV/atom; magnetic moment = 0.6 μB/f.u.; symmetry = No. 123; crystal system = tetragonal; formation energy without anion corrections = -33 meV per atom
1.0
3.5426 0.0000 0.0000
0.0000 4.7491 0.0000
0.0000 0.0000 4.7491
Cr Tl S N
1 1 2 1
direct
0.0000 0.0000 0.0000
0.5000 0.5000 0.5000
0.0000 0.0000 0.5000
0.0000 0.5000 0.0000
0.5000 0.0000 0.0000

---

[20]
ZrCrSN2 (GGA-PBEsol, optimized geometry); electronic total energy = -8.4896 eV/atom; D(E_F) = 0.546 states/eV/atom; magnetic moment = 0.0 μB/f.u.; symmetry = No. 123; crystal system = tetragonal; formation energy without anion corrections = -336 meV per atom
1.0
3.6731 0.0000 0.0000
0.0000 3.6731 0.0000
0.0000 0.0000 4.5068
Cr S Zr N
1 1 1 2
direct
0.0000 0.0000 0.0000
0.0000 0.0000 0.5000
0.5000 0.5000 0.5000
0.0000 0.5000 0.0000
0.5000 0.0000 0.0000